No. 1
The following is a DFT calculation (PBE) of K3Pa4Se12 after structural relaxation.

Unit cell a=9.4947 b=9.4947 c=9.4947 alpha=109.47 beta=109.47 gamma=109.47
With the nearest neighbours (Å) after each atom.
Atoms (fractional coordinates):
Pa1 0.0000 0.5000 0.0000  6 Se 2.75
Pa2 0.5000 0.0000 0.0000  6 Se 2.75
Se1 0.2680 0.5027 0.2348  2 Pa 2.75
Se2 0.2348 0.2680 0.5027  2 Pa 2.75
Se3 0.2348 0.7320 0.9668  2 Pa 2.75
Se4 0.4973 0.7652 0.7320  2 Pa 2.75
Se5 0.2680 0.0332 0.7652  2 Pa 2.75
Se6 0.9668 0.2348 0.7320  2 Pa 2.75
K1 0.0000 0.5000 0.5000  8 Se 3.62-3.86
Se7 0.7652 0.7320 0.4973  2 Pa 2.75
Se8 0.0332 0.7652 0.2680  2 Pa 2.75
Pa3 0.0000 0.0000 0.5000  6 Se 2.75
Se9 0.7652 0.2680 0.0332  2 Pa 2.75
Pa4 0.5000 0.5000 0.5000  6 Se 2.75
K2 0.5000 0.0000 0.5000  8 Se 3.62-3.86
Se10 0.7320 0.4973 0.7652  2 Pa 2.75
Se11 0.7320 0.9668 0.2348  2 Pa 2.75
K3 0.5000 0.5000 0.0000  8 Se 3.62-3.86
Se12 0.5027 0.2348 0.2680  2 Pa 2.75

Formation energy (no corrections) in eV/f.u.: -24.25

No. 2
The following is a DFT calculation (PBE) of AcCeGdHg after structural relaxation.

Unit cell a=5.6047 b=5.6047 c=5.6047 alpha=60.00 beta=60.00 gamma=60.00
With the nearest neighbours (Å) after each atom.
Atoms (fractional coordinates):
Gd1 0.5000 0.5000 0.5000  4 Hg 3.43, 4 Ac 3.43
Ce1 0.0000 0.0000 0.0000  4 Hg 3.43, 4 Ac 3.43
Ac1 0.7500 0.7500 0.7500  4 Gd 3.43, 4 Ce 3.43
Hg1 0.2500 0.2500 0.2500  4 Gd 3.43, 4 Ce 3.43

ΔE_f in eV/atom: 0.04

No. 3
The following is a DFT calculation (PBE) of Pr6Sm7Y16 after structural relaxation.

Unit cell a=11.3355 b=11.3355 c=11.3355 alpha=60.00 beta=60.00 gamma=60.00
With the nearest neighbours (Å) after each atom.
Atoms (fractional coordinates):
Y1 0.6496 0.6496 0.0512  3 Sm 3.31, 3 Y 3.58, 3 Pr 3.68
Y2 0.8708 0.3875 0.8708  4 Sm 3.43-3.59, 3 Y 3.58, 3 Pr 3.62
Y3 0.8708 0.8708 0.8708  4 Sm 3.43-3.59, 3 Y 3.58, 3 Pr 3.62
Y4 0.3504 0.9488 0.3504  3 Sm 3.31, 3 Y 3.58, 3 Pr 3.68
Y5 0.3875 0.8708 0.8708  4 Sm 3.43-3.59, 3 Y 3.58, 3 Pr 3.62
Sm1 0.0000 0.5000 0.5000  8 Y 3.31-3.43
Sm2 0.5000 0.0000 0.0000  8 Y 3.31-3.43
Y6 0.1292 0.1292 0.1292  4 Sm 3.43-3.59, 3 Y 3.58, 3 Pr 3.62
Y7 0.1292 0.6125 0.1292  4 Sm 3.43-3.59, 3 Y 3.58, 3 Pr 3.62
Y8 0.6496 0.6496 0.6496  3 Sm 3.31, 3 Y 3.58, 3 Pr 3.68
Pr1 0.7384 0.7384 0.2616  8 Y 3.62-3.68, 4 Sm 4.01
Y9 0.1292 0.1292 0.6125  4 Sm 3.43-3.59, 3 Y 3.58, 3 Pr 3.62
Sm3 0.0000 0.0000 0.5000  8 Y 3.31-3.43
Pr2 0.7384 0.2616 0.2616  8 Y 3.62-3.68, 4 Sm 4.01
Y10 0.6125 0.1292 0.1292  4 Sm 3.43-3.59, 3 Y 3.58, 3 Pr 3.62
Y11 0.8708 0.8708 0.3875  4 Sm 3.43-3.59, 3 Y 3.58, 3 Pr 3.62
Pr3 0.2616 0.2616 0.7384  8 Y 3.62-3.68, 4 Sm 4.01
Sm4 0.0000 0.5000 0.0000  8 Y 3.31-3.43
Pr4 0.2616 0.7384 0.7384  8 Y 3.62-3.68, 4 Sm 4.01
Y12 0.3504 0.3504 0.3504  3 Sm 3.31, 3 Y 3.58, 3 Pr 3.68
Pr5 0.7384 0.2616 0.7384  8 Y 3.62-3.68, 4 Sm 4.01
Sm5 0.5000 0.5000 0.0000  8 Y 3.31-3.43
Y13 0.3504 0.3504 0.9488  3 Sm 3.31, 3 Y 3.58, 3 Pr 3.68
Sm6 0.0000 0.0000 0.0000  8 Y 3.59
Y14 0.0512 0.6496 0.6496  3 Sm 3.31, 3 Y 3.58, 3 Pr 3.68
Y15 0.9488 0.3504 0.3504  3 Sm 3.31, 3 Y 3.58, 3 Pr 3.68
Sm7 0.5000 0.0000 0.5000  8 Y 3.31-3.43
Pr6 0.2616 0.7384 0.2616  8 Y 3.62-3.68, 4 Sm 4.01
Y16 0.6496 0.0512 0.6496  3 Sm 3.31, 3 Y 3.58, 3 Pr 3.68

ΔE_f in eV/atom: 0.23

No. 4
The following is a DFT calculation (PBE) of CaY after structural relaxation.

Unit cell a=7.2097 b=7.2097 c=5.6899 alpha=90.00 beta=90.00 gamma=150.38
With the nearest neighbours (Å) after each atom.
Atoms (fractional coordinates):
Ca1 0.8295 0.1705 0.7500  6 Ca 3.69-4.05, 7 Y 3.70-3.74
Ca2 0.1705 0.8295 0.2500  6 Ca 3.69-4.05, 7 Y 3.70-3.74
Y1 0.5632 0.4368 0.7500  4 Y 3.35-3.69, 7 Ca 3.70-3.74
Y2 0.4368 0.5632 0.2500  4 Y 3.35-3.69, 7 Ca 3.70-3.74

ΔE_f in eV/atom: 0.15
Polymorph energy (0 for the lowest one) in meV/atom: 103

No. 5
The following is a DFT calculation (PBE) of TeMo3 after structural relaxation.

Unit cell a=5.8181 b=5.4512 c=8.9227 alpha=90.00 beta=90.00 gamma=90.00
With the nearest neighbours (Å) after each atom.
Atoms (fractional coordinates):
Mo1 0.8388 0.8054 0.9995  8 Mo 2.69-2.97, 2 Te 2.75-2.96
Mo2 0.6612 0.3054 0.5005  8 Mo 2.69-2.97, 2 Te 2.75-2.96
Te1 0.4115 0.0682 0.2500  6 Mo 2.66-2.96
Mo3 0.1354 0.8647 0.7500  2 Te 2.66-2.70, 6 Mo 2.69-2.87
Mo4 0.3388 0.6946 0.4995  8 Mo 2.69-2.97, 2 Te 2.75-2.96
Mo5 0.8646 0.1353 0.2500  2 Te 2.66-2.70, 6 Mo 2.69-2.87
Mo6 0.1612 0.1946 0.4995  8 Mo 2.69-2.97, 2 Te 2.75-2.96
Mo7 0.1612 0.1946 0.0005  8 Mo 2.69-2.97, 2 Te 2.75-2.96
Mo8 0.3388 0.6946 0.0005  8 Mo 2.69-2.97, 2 Te 2.75-2.96
Mo9 0.3646 0.3647 0.7500  2 Te 2.66-2.70, 6 Mo 2.69-2.87
Te2 0.0885 0.5682 0.2500  6 Mo 2.66-2.96
Te3 0.9115 0.4318 0.7500  6 Mo 2.66-2.96
Mo10 0.6354 0.6353 0.2500  2 Te 2.66-2.70, 6 Mo 2.69-2.87
Te4 0.5885 0.9318 0.7500  6 Mo 2.66-2.96
Mo11 0.8388 0.8054 0.5005  8 Mo 2.69-2.97, 2 Te 2.75-2.96
Mo12 0.6612 0.3054 0.9995  8 Mo 2.69-2.97, 2 Te 2.75-2.96

Formation energy (no corrections) in eV/f.u.: 1.68
Polymorph energy (0 for the lowest one) in meV/atom: 117

No. 6
The following is a DFT calculation (PBE) of ThZrCdHg after structural relaxation.

Unit cell a=5.2361 b=5.2361 c=5.2361 alpha=60.00 beta=60.00 gamma=60.00
With the nearest neighbours (Å) after each atom.
Atoms (fractional coordinates):
Th1 0.5000 0.5000 0.5000  4 Cd 3.21, 4 Hg 3.21
Cd1 0.7500 0.7500 0.7500  4 Zr 3.21, 4 Th 3.21
Zr1 0.0000 0.0000 0.0000  4 Hg 3.21, 4 Cd 3.21
Hg1 0.2500 0.2500 0.2500  4 Th 3.21, 4 Zr 3.21

ΔE_f in eV/atom: -0.05

No. 7
The following is a DFT calculation (PBE) of MgHgI2N after structural relaxation.

Unit cell a=5.6449 b=4.0216 c=5.6449 alpha=90.00 beta=90.00 gamma=90.00
With the nearest neighbours (Å) after each atom.
Atoms (fractional coordinates):
Mg1 0.0000 0.5000 0.0000  2 N 2.01
Hg1 0.5000 0.5000 0.5000  8 I 3.47
I1 0.0000 0.0000 0.5000  2 N 2.82
I2 0.5000 0.0000 0.0000  2 N 2.82
N1 0.0000 0.0000 0.0000  2 Mg 2.01

Formation energy (no corrections) in eV/f.u.: 1.18
Polymorph energy (0 for the lowest one) in meV/atom: 0

No. 8
The following is a DFT calculation (PBE) of TiNb6Re2 after structural relaxation.

Unit cell a=3.2247 b=5.4411 c=9.5445 alpha=76.16 beta=80.27 gamma=72.76
With the nearest neighbours (Å) after each atom.
Atoms (fractional coordinates):
Nb1 0.3293 0.7799 0.5614  2 Re 2.77, 6 Nb 2.85-2.89
Nb2 0.6747 0.5392 0.1115  4 Nb 2.74-2.79, 2 Re 2.79, 2 Ti 2.90
Nb3 0.0021 0.3224 0.6734  2 Re 2.77, 6 Nb 2.79-2.89
Nb4 0.9979 0.6776 0.3266  2 Re 2.77, 6 Nb 2.79-2.89
Nb5 0.3253 0.4608 0.8885  4 Nb 2.74-2.79, 2 Re 2.79, 2 Ti 2.90
Nb6 0.6706 0.2201 0.4386  2 Re 2.77, 6 Nb 2.85-2.89
Ti1 0.0000 0.0000 0.0000  4 Re 2.76, 4 Nb 2.90
Re1 0.6630 0.8941 0.7800  2 Ti 2.76, 6 Nb 2.77-2.79
Re2 0.3370 0.1059 0.2200  2 Ti 2.76, 6 Nb 2.77-2.79

ΔE_f in eV/atom: -0.19
Polymorph energy (0 for the lowest one) in meV/atom: 0

No. 9
The following is a DFT calculation (PBE) of BiB2H after structural relaxation.

Unit cell a=4.2342 b=4.2342 c=4.2342 alpha=60.00 beta=60.00 gamma=60.00
With the nearest neighbours (Å) after each atom.
Atoms (fractional coordinates):
H1 0.0000 0.0000 0.0000  8 B 2.59
Bi1 0.5000 0.5000 0.5000  8 B 2.59
B1 0.2500 0.2500 0.2500  4 Bi 2.59, 4 H 2.59
B2 0.7500 0.7500 0.7500  4 H 2.59, 4 Bi 2.59

Polymorph energy (0 for the lowest one) in meV/atom: 805

No. 10
The following is a DFT calculation (PBE) of LaHI2N after structural relaxation.

Unit cell a=5.6301 b=5.6301 c=3.5982 alpha=90.00 beta=90.00 gamma=90.00
With the nearest neighbours (Å) after each atom.
Atoms (fractional coordinates):
H1 0.0000 0.0000 0.0000  2 N 1.80
La1 0.5000 0.5000 0.5000  8 I 3.34, 2 La 3.60
I1 0.5000 0.0000 0.0000  2 H 2.82
I2 0.0000 0.5000 0.0000  2 H 2.82
N1 0.0000 0.0000 0.5000  2 H 1.80

Polymorph energy (0 for the lowest one) in meV/atom: 284

No. 11
The following is a DFT calculation (PBE) of LaDyEr2S4 after structural relaxation.

Unit cell a=3.8997 b=6.9063 c=6.8373 alpha=71.13 beta=90.00 gamma=90.00
With the nearest neighbours (Å) after each atom.
Atoms (fractional coordinates):
S1 0.5000 0.2393 0.7455  3 Er 2.71-2.77, 2 Dy 2.81, 1 La 2.88
Dy1 0.0000 0.5000 0.5000  6 S 2.81-2.82
Er1 0.0000 0.0000 0.0000  6 S 2.77-2.78
La1 0.5000 0.5000 0.0000  6 S 2.88-2.89
S2 0.5000 0.7607 0.2545  3 Er 2.71-2.77, 2 Dy 2.81, 1 La 2.88
Er2 0.5000 0.0000 0.5000  6 S 2.70-2.71
S3 0.0000 0.7675 0.7356  3 Er 2.70-2.78, 1 Dy 2.82, 2 La 2.89
S4 0.0000 0.2325 0.2644  3 Er 2.70-2.78, 1 Dy 2.82, 2 La 2.89

Formation energy (no corrections) in eV/f.u.: -16.06

No. 12
The following is a DFT calculation (PBE) of KRb6Au after structural relaxation.

Unit cell a=9.4695 b=9.5170 c=9.7238 alpha=61.13 beta=61.65 gamma=60.36
With the nearest neighbours (Å) after each atom.
Atoms (fractional coordinates):
Rb1 0.1824 0.0070 0.2302  1 Au 3.45
Rb2 0.5881 0.1803 0.2278  1 Au 3.45
Au1 0.0000 0.0000 0.0000  6 Rb 3.45
Rb3 0.4119 0.8197 0.7722  1 Au 3.45
Rb4 0.8176 0.9930 0.7698  1 Au 3.45
Rb5 0.9950 0.4140 0.7707  1 Au 3.45
Rb6 0.0050 0.5860 0.2293  1 Au 3.45
K1 0.5000 0.5000 0.5000  6 Rb 4.49-4.51

ΔE_f in eV/atom: -0.04
Polymorph energy (0 for the lowest one) in meV/atom: 10

No. 13
The following is a DFT calculation (PBE) of RbNaGaSb2 after structural relaxation.

Unit cell a=5.1790 b=5.1790 c=7.1191 alpha=111.33 beta=111.33 gamma=90.00
With the nearest neighbours (Å) after each atom.
Atoms (fractional coordinates):
Sb1 0.6190 0.6190 0.2380  1 Sb 2.91, 2 Na 3.04, 2 Ga 3.04
Na1 0.7500 0.2500 0.5000  4 Sb 3.04
Sb2 0.3810 0.3810 0.7620  1 Sb 2.91, 2 Na 3.04, 2 Ga 3.04
Rb1 0.0000 0.0000 0.0000  8 Sb 3.94, 4 Na 4.00, 4 Ga 4.00
Ga1 0.2500 0.7500 0.5000  4 Sb 3.04

Formation energy (no corrections) in eV/f.u.: -1.30

No. 14
The following is a DFT calculation (PBE) of AlHg2Os after structural relaxation.

Unit cell a=2.9755 b=2.9755 c=9.6349 alpha=90.00 beta=90.00 gamma=117.81
With the nearest neighbours (Å) after each atom.
Atoms (fractional coordinates):
Hg1 0.5000 0.5000 0.2710  2 Os 2.92, 8 Hg 2.98-3.22
Os1 0.0000 0.0000 0.5289  2 Al 2.42
Al1 0.5000 0.5000 0.7229  2 Os 2.42
Hg2 0.0000 0.0000 0.9772  2 Al 2.89, 8 Hg 2.98-3.22

ΔE_f in eV/atom: 0.42

No. 15
The following is a DFT calculation (PBE) of Gd2ErTl after structural relaxation.

Unit cell a=4.9020 b=4.8364 c=4.8364 alpha=90.00 beta=90.00 gamma=90.00
With the nearest neighbours (Å) after each atom.
Atoms (fractional coordinates):
Gd1 0.0000 0.5000 0.0000  4 Gd 3.42, 4 Tl 3.44, 4 Er 3.44
Gd2 0.0000 0.0000 0.5000  4 Gd 3.42, 4 Tl 3.44, 4 Er 3.44
Tl1 0.5000 0.0000 0.0000  4 Er 3.42, 8 Gd 3.44
Er1 0.5000 0.5000 0.5000  4 Tl 3.42, 8 Gd 3.44

ΔE_f in eV/atom: -0.21
Polymorph energy (0 for the lowest one) in meV/atom: 0

No. 16
The following is a DFT calculation (PBE) of K2FeAs after structural relaxation.

Unit cell a=4.2050 b=4.2050 c=9.7503 alpha=77.98 beta=77.98 gamma=59.98
With the nearest neighbours (Å) after each atom.
Atoms (fractional coordinates):
K1 0.0399 0.0399 0.8892  3 As 3.48-3.49, 3 Fe 3.48
As1 0.4584 0.4584 0.6250  3 Fe 2.43
K2 0.2099 0.2099 0.3607  3 Fe 3.48-3.49, 3 As 3.48-3.49
Fe1 0.7917 0.7917 0.6250  3 As 2.43

ΔE_f in eV/atom: 0.00

No. 17
The following is a DFT calculation (PBE) of Co2TcCl after structural relaxation.

Unit cell a=4.2340 b=4.2340 c=4.2340 alpha=60.00 beta=60.00 gamma=60.00
With the nearest neighbours (Å) after each atom.
Atoms (fractional coordinates):
Co1 0.2500 0.2500 0.2500  4 Cl 2.59, 4 Tc 2.59
Tc1 0.5000 0.5000 0.5000  8 Co 2.59
Co2 0.7500 0.7500 0.7500  4 Tc 2.59, 4 Cl 2.59
Cl1 0.0000 0.0000 0.0000  8 Co 2.59

Formation energy (no corrections) in eV/f.u.: 4.15
Polymorph energy (0 for the lowest one) in meV/atom: 743

No. 18
The following is a DFT calculation (PBE) of CaY2O after structural relaxation.

Unit cell a=3.5497 b=3.5497 c=9.4699 alpha=79.20 beta=79.20 gamma=60.00
With the nearest neighbours (Å) after each atom.
Atoms (fractional coordinates):
Y1 0.1199 0.1199 0.6403  3 O 2.43
Ca1 0.0000 0.0000 0.0000  2 Y 3.33, 6 Ca 3.55
O1 0.5000 0.5000 0.5000  6 Y 2.43
Y2 0.8801 0.8801 0.3597  3 O 2.43

Formation energy (no corrections) in eV/f.u.: -4.84

No. 19
The following is a DFT calculation (PBE) of AlTeI2N after structural relaxation.

Unit cell a=5.6602 b=5.6602 c=5.3400 alpha=90.00 beta=90.00 gamma=90.00
With the nearest neighbours (Å) after each atom.
Atoms (fractional coordinates):
Te1 0.0000 0.0000 0.5000  2 Al 2.67
N1 0.5000 0.5000 0.5000  8 I 3.89, 4 Te 4.00
I1 0.0000 0.5000 0.0000  2 Al 2.83
Al1 0.0000 0.0000 0.0000  2 Te 2.67, 4 I 2.83
I2 0.5000 0.0000 0.0000  2 Al 2.83

Formation energy (no corrections) in eV/f.u.: 4.97
Polymorph energy (0 for the lowest one) in meV/atom: 683

No. 20
The following is a DFT calculation (PBE) of SmScRuAu after structural relaxation.

Unit cell a=4.8777 b=4.8777 c=4.8777 alpha=60.00 beta=60.00 gamma=60.00
With the nearest neighbours (Å) after each atom.
Atoms (fractional coordinates):
Au1 0.0000 0.0000 0.0000  4 Sm 2.99, 4 Sc 2.99
Ru1 0.5000 0.5000 0.5000  4 Sc 2.99, 4 Sm 2.99
Sm1 0.7500 0.7500 0.7500  4 Au 2.99, 4 Ru 2.99
Sc1 0.2500 0.2500 0.2500  4 Ru 2.99, 4 Au 2.99

ΔE_f in eV/atom: -0.51

Values for spin magnetization, μB/f.u., ordered as above
0.00 9.98 0.00 0.00 0.00 0.00 0.00 0.00 0.00 1.75 0.00 0.00 0.00 0.00 15.62 2.97 2.69 0.00 2.89 0.00